# 1
Here is TlV2PdCl after structural relaxation from the Alexandria database. Energies are from PBE.

```
TlV2PdCl
1.0
4.407 0.000 0.000
0.000 4.407 0.000
0.000 0.000 4.666
Tl V Pd Cl
1 2 1 1
Cartesian
0.000 0.000 0.000 Tl
0.000 2.204 2.333 V
2.204 0.000 2.333 V
2.204 2.204 0.000 Pd
2.204 2.204 2.333 Cl
```

The total magnetization comes out at 3.52 μB/cell. The mass density is 8.21 g/cm3. The raw formation energy is 528 meV/atom. The final energy is -25.0 eV for the cell shown. Its space group is P4/mmm (123).

=====

# 2
Here is Ir2AuCl after structural relaxation from the Alexandria database. Energies are from PBE.

```
Ir2AuCl
1.0
-2.127 2.127 3.583
2.127 -2.127 3.583
2.127 2.127 -3.583
Ir Au Cl
2 1 1
Cartesian
2.127 0.000 1.792 Ir
0.000 2.127 1.792 Ir
0.000 0.000 0.000 Au
0.000 0.000 3.583 Cl
```

The total magnetization comes out at 0.00 μB/cell. The mass density is 15.80 g/cm3. The raw formation energy is 1148 meV/atom. The final energy is -18.3 eV for the cell shown. Its space group is I4/mmm (139).

=====

# 3
Here is TaPb5 after structural relaxation from the Alexandria database. Energies are from PBE.

```
TaPb5
1.0
6.105 0.000 0.000
-3.053 5.287 0.000
0.000 0.000 6.012
Ta Pb
1 5
Cartesian
0.000 0.000 0.000 Ta
-1.526 2.644 3.006 Pb
0.000 3.525 0.000 Pb
3.053 0.000 3.006 Pb
1.526 2.644 3.006 Pb
3.053 1.762 0.000 Pb
```

The total magnetization comes out at 2.39 μB/cell. The mass density is 10.41 g/cm3. The value obtained for the energy of formation from the pure elements is 0.9186 eV per atom. The final energy is -24.9 eV for the cell shown. Its space group is P6/mmm (191).